1.
FeHgPt2 | PBE-GGA | relaxed

a b c (Å): 4.839 4.839 5.008
angles (deg): 101.45 101.45 34.43
Positions (direct):
Fe (0.000, 0.000, 0.000)
Hg (0.500, 0.500, 0.500)
Pt (0.262, 0.262, 0.768)
Pt (0.738, 0.738, 0.232)

Its magnetization is 3.4 μB per formula unit. The value obtained for the volume is 16.2 Å³ per atom.

---

2.
FeHgPt2 | PBE-GGA | relaxed

a b c (Å): 4.924 4.924 4.906
angles (deg): 100.42 100.42 33.88
Positions (direct):
Fe (0.000, 0.000, 0.000)
Hg (0.245, 0.245, 0.710)
Pt (0.488, 0.488, 0.466)
Pt (0.738, 0.738, 0.196)

Its magnetization is 3.4 μB per formula unit. The value obtained for the volume is 16.3 Å³ per atom.

---

3.
FeHgPt2 | PBE-GGA | relaxed

a b c (Å): 4.520 4.520 4.520
angles (deg): 60.00 60.00 60.00
Positions (direct):
Fe (0.000, 0.000, 0.000)
Hg (0.250, 0.250, 0.250)
Pt (0.500, 0.500, 0.500)
Pt (0.750, 0.750, 0.750)

Its magnetization is 3.3 μB per formula unit. The value obtained for the volume is 16.3 Å³ per atom.

---

4.
FeHgPt | PBE-GGA | relaxed

a b c (Å): 5.147 5.147 5.147
angles (deg): 147.53 137.08 54.83
Positions (direct):
Fe (0.000, 0.000, 0.000)
Hg (0.679, 0.679, 0.000)
Pt (0.366, 0.366, 0.000)

Its relative energy among the computed polymorphs is 29 meV/atom. Its magnetization is 3.2 μB per formula unit. The value obtained for the volume is 16.5 Å³ per atom.

---

5.
FeHgPt4 | PBE-GGA | relaxed

a b c (Å): 5.296 5.296 5.296
angles (deg): 60.00 60.00 60.00
Positions (direct):
Fe (0.000, 0.000, 0.000)
Hg (0.750, 0.750, 0.750)
Pt (0.375, 0.375, 0.375)
Pt (0.375, 0.375, 0.876)
Pt (0.375, 0.876, 0.375)
Pt (0.876, 0.375, 0.375)

Its magnetization is 3.7 μB per formula unit. The value obtained for the volume is 17.5 Å³ per atom.

---

6.
FeHg4Pt | PBE-GGA | relaxed

a b c (Å): 5.642 5.642 5.642
angles (deg): 60.00 60.00 60.00
Positions (direct):
Fe (0.000, 0.000, 0.000)
Hg (0.125, 0.625, 0.625)
Hg (0.625, 0.125, 0.625)
Hg (0.625, 0.625, 0.125)
Hg (0.625, 0.625, 0.625)
Pt (0.250, 0.250, 0.250)

Its magnetization is 3.2 μB per formula unit. The value obtained for the volume is 21.2 Å³ per atom.

---

7.
Fe3Hg5Pt12 | PBE-GGA | relaxed

a b c (Å): 13.169 13.169 13.169
angles (deg): 109.47 109.47 109.47
Positions (direct):
Fe (0.125, 0.250, 0.375)
Fe (0.125, 0.375, 0.750)
Fe (0.250, 0.375, 0.125)
Fe (0.250, 0.875, 0.625)
Fe (0.375, 0.125, 0.250)
Fe (0.375, 0.750, 0.125)
Fe (0.625, 0.250, 0.875)
Fe (0.625, 0.875, 0.750)
Fe (0.750, 0.125, 0.375)
Fe (0.750, 0.625, 0.875)
Fe (0.875, 0.625, 0.250)
Fe (0.875, 0.750, 0.625)
Hg (0.000, 0.000, 0.000)
Hg (0.000, 0.000, 0.500)
Hg (0.000, 0.500, 0.000)
Hg (0.000, 0.500, 0.500)
Hg (0.125, 0.750, 0.875)
Hg (0.125, 0.875, 0.250)
Hg (0.250, 0.125, 0.875)
Hg (0.250, 0.625, 0.375)
Hg (0.375, 0.250, 0.625)
Hg (0.375, 0.625, 0.750)
Hg (0.500, 0.000, 0.000)
Hg (0.500, 0.000, 0.500)
Hg (0.500, 0.500, 0.000)
Hg (0.500, 0.500, 0.500)
Hg (0.625, 0.375, 0.250)
Hg (0.625, 0.750, 0.375)
Hg (0.750, 0.375, 0.625)
Hg (0.750, 0.875, 0.125)
Hg (0.875, 0.125, 0.750)
Hg (0.875, 0.250, 0.125)
Pt (0.056, 0.638, 0.399)
Pt (0.056, 0.918, 0.657)
Pt (0.082, 0.239, 0.138)
Pt (0.082, 0.343, 0.944)
Pt (0.101, 0.739, 0.657)
Pt (0.101, 0.862, 0.444)
Pt (0.138, 0.082, 0.239)
Pt (0.138, 0.556, 0.899)
Pt (0.157, 0.239, 0.601)
Pt (0.157, 0.418, 0.556)
Pt (0.239, 0.138, 0.082)
Pt (0.239, 0.601, 0.157)
Pt (0.261, 0.343, 0.899)
Pt (0.261, 0.418, 0.362)
Pt (0.343, 0.899, 0.261)
Pt (0.343, 0.944, 0.082)
Pt (0.362, 0.261, 0.418)
Pt (0.362, 0.601, 0.944)
Pt (0.399, 0.056, 0.638)
Pt (0.399, 0.843, 0.761)
Pt (0.418, 0.362, 0.261)
Pt (0.418, 0.556, 0.157)
Pt (0.444, 0.101, 0.862)
Pt (0.444, 0.843, 0.582)
Pt (0.556, 0.157, 0.418)
Pt (0.556, 0.899, 0.138)
Pt (0.582, 0.444, 0.843)
Pt (0.582, 0.638, 0.739)
Pt (0.601, 0.157, 0.239)
Pt (0.601, 0.944, 0.362)
Pt (0.638, 0.399, 0.056)
Pt (0.638, 0.739, 0.582)
Pt (0.657, 0.056, 0.918)
Pt (0.657, 0.101, 0.739)
Pt (0.739, 0.582, 0.638)
Pt (0.739, 0.657, 0.101)
Pt (0.761, 0.399, 0.843)
Pt (0.761, 0.862, 0.918)
Pt (0.843, 0.582, 0.444)
Pt (0.843, 0.761, 0.399)
Pt (0.862, 0.444, 0.101)
Pt (0.862, 0.918, 0.761)
Pt (0.899, 0.138, 0.556)
Pt (0.899, 0.261, 0.343)
Pt (0.918, 0.657, 0.056)
Pt (0.918, 0.761, 0.862)
Pt (0.944, 0.082, 0.343)
Pt (0.944, 0.362, 0.601)

Its magnetization is 13.3 μB per formula unit. The value obtained for the volume is 22.0 Å³ per atom.

---

8.
FeHgPt2 | PBE-GGA | relaxed

a b c (Å): 2.896 2.917 7.667
angles (deg): 90.00 90.00 90.00
Positions (direct):
Fe (0.000, 0.000, 0.000)
Hg (0.000, 0.000, 0.500)
Pt (0.500, 0.500, 0.217)
Pt (0.500, 0.500, 0.783)

Its magnetization is 3.6 μB per formula unit. The value obtained for the volume is 16.2 Å³ per atom.

---

9.
FeHgPt2 | PBE-GGA | relaxed

a b c (Å): 4.994 4.994 4.994
angles (deg): 133.26 133.26 68.25
Positions (direct):
Fe (0.000, 0.000, 0.000)
Hg (0.250, 0.750, 0.500)
Pt (0.500, 0.500, 0.000)
Pt (0.750, 0.250, 0.500)

Its magnetization is 3.6 μB per formula unit. The value obtained for the volume is 16.2 Å³ per atom.

---

10.
FeHgPt2 | PBE-GGA | relaxed

a b c (Å): 2.879 4.652 4.886
angles (deg): 90.00 90.04 90.00
Positions (direct):
Fe (0.000, 0.000, 0.000)
Hg (0.998, 0.500, 0.361)
Pt (0.498, 0.000, 0.526)
Pt (0.498, 0.500, 0.870)

Its magnetization is 3.6 μB per formula unit. The value obtained for the volume is 16.4 Å³ per atom.

---

11.
FeHg3Pt | PBE-GGA | relaxed

a b c (Å): 4.975 4.975 4.975
angles (deg): 90.00 90.00 90.00
Positions (direct):
Fe (0.000, 0.000, 0.000)
Hg (0.000, 0.000, 0.500)
Hg (0.000, 0.500, 0.000)
Hg (0.500, 0.000, 0.000)
Pt (0.500, 0.500, 0.500)

Its relative energy among the computed polymorphs is 171 meV/atom. Its magnetization is 2.9 μB per formula unit. The value obtained for the volume is 24.6 Å³ per atom.

---

12.
FeHgPt6 | PBE-GGA | relaxed

a b c (Å): 3.992 3.992 7.995
angles (deg): 90.00 90.00 90.00
Positions (direct):
Fe (0.000, 0.000, 0.000)
Hg (0.000, 0.000, 0.500)
Pt (0.000, 0.500, 0.234)
Pt (0.000, 0.500, 0.766)
Pt (0.500, 0.000, 0.234)
Pt (0.500, 0.000, 0.766)
Pt (0.500, 0.500, 0.000)
Pt (0.500, 0.500, 0.500)

Its magnetization is 4.9 μB per formula unit. The value obtained for the volume is 15.9 Å³ per atom.

---

Formation enthalpy at 0 K, record by record: 0.04, 0.04, 0.12, 0.11, 0.18, 0.72, 0.51, -0.11, 0.06, 0.07, 0.92, -0.10 eV per atom